The following is a PBE calculation of PrMg2GaPd2 after structural relaxation, from Alexandria via LeMat-Bulk.

abc: 5.1109 5.1109 6.4745
angles: 113.25 113.25 90.00
With the nearest neighbours (Å) after each atom.
Sites, in units of the cell vectors:
Mg (0.7500, 0.2500, 0.5000)  4 Pd 2.57
Mg (0.2500, 0.7500, 0.5000)  4 Pd 2.57
Pd (0.2230, 0.2230, 0.4460)  1 Ga 2.40, 4 Mg 2.57
Ga (0.0000, 0.0000, 0.0000)  2 Pd 2.40
Pd (0.7770, 0.7770, 0.5540)  1 Ga 2.40, 4 Mg 2.57
Pr (0.5000, 0.5000, 0.0000)  2 Pd 2.98

D(E_F) in states/eV per atom: 0.5424
Energy relative to the elements in kJ/mol of atoms: -37.3
Total DFT energy (no corrections) in eV per atom: -3.9502
Crystal system: tetragonal

The following is a PBE calculation of KYNb2 after structural relaxation, from Alexandria via LeMat-Bulk.

abc: 5.2230 5.2230 5.2230
angles: 60.00 60.00 60.00
With the nearest neighbours (Å) after each atom.
Sites, in units of the cell vectors:
K (0.0000, 0.0000, 0.0000)  8 Nb 3.20
Nb (0.2500, 0.2500, 0.2500)  4 K 3.20, 4 Y 3.20
Nb (0.7500, 0.7500, 0.7500)  4 K 3.20, 4 Y 3.20
Y (0.5000, 0.5000, 0.5000)  8 Nb 3.20

D(E_F) in states/eV per atom: 2.3542
Energy relative to the elements in kJ/mol of atoms: 147.2
Total DFT energy (no corrections) in eV per atom: -5.4001
Crystal system: cubic

The following is a PBE calculation of As4Au after structural relaxation, from Alexandria via LeMat-Bulk.

abc: 5.5217 5.4831 7.7426
angles: 97.76 90.00 90.00
With the nearest neighbours (Å) after each atom.
Sites, in units of the cell vectors:
As (0.3598, 0.6148, 0.9135)  3 As 2.50-2.51
As (0.1402, 0.6148, 0.4135)  3 As 2.50-2.51
As (0.2003, 0.2192, 0.7520)  2 As 2.51, 2 Au 2.64-2.71
Au (0.5000, 0.0000, 0.5000)  6 As 2.64-2.91
As (0.7003, 0.7808, 0.7480)  2 As 2.51, 2 Au 2.64-2.71
Au (0.0000, 0.0000, 0.0000)  6 As 2.64-2.91
As (0.8598, 0.3852, 0.5865)  3 As 2.50-2.51
As (0.6402, 0.3852, 0.0865)  3 As 2.50-2.51
As (0.7997, 0.7808, 0.2480)  2 As 2.51, 2 Au 2.64-2.71
As (0.2997, 0.2192, 0.2520)  2 As 2.51, 2 Au 2.64-2.71

D(E_F) in states/eV per atom: 0.3239
Energy relative to the elements in kJ/mol of atoms: 1.0
Total DFT energy (no corrections) in eV per atom: -4.3644
Crystal system: monoclinic

- Which value of total DFT energy (no corrections) does entry 3 give?
  -4.3644 eV per atom

- Among the records above, which one has the highest energy relative to the elements?
  KYNb2

- D(E_F) of number 1 (PrMg2GaPd2)?
  0.5424 states/eV per atom

Repeat the third record exactly.
The following is a PBE calculation of As4Au after structural relaxation, from Alexandria via LeMat-Bulk.

abc: 5.5217 5.4831 7.7426
angles: 97.76 90.00 90.00
With the nearest neighbours (Å) after each atom.
Sites, in units of the cell vectors:
As (0.3598, 0.6148, 0.9135)  3 As 2.50-2.51
As (0.1402, 0.6148, 0.4135)  3 As 2.50-2.51
As (0.2003, 0.2192, 0.7520)  2 As 2.51, 2 Au 2.64-2.71
Au (0.5000, 0.0000, 0.5000)  6 As 2.64-2.91
As (0.7003, 0.7808, 0.7480)  2 As 2.51, 2 Au 2.64-2.71
Au (0.0000, 0.0000, 0.0000)  6 As 2.64-2.91
As (0.8598, 0.3852, 0.5865)  3 As 2.50-2.51
As (0.6402, 0.3852, 0.0865)  3 As 2.50-2.51
As (0.7997, 0.7808, 0.2480)  2 As 2.51, 2 Au 2.64-2.71
As (0.2997, 0.2192, 0.2520)  2 As 2.51, 2 Au 2.64-2.71

D(E_F) in states/eV per atom: 0.3239
Energy relative to the elements in kJ/mol of atoms: 1.0
Total DFT energy (no corrections) in eV per atom: -4.3644
Crystal system: monoclinic